No. 1
{"formula": "La2NpN4", "functional": "GGA-PBE", "state": "relaxed", "lattice": [[3.609, 0.000, 0.000], [0.000, 6.103, 0.000], [0.000, 0.000, 10.212]], "species": ["La", "La", "La", "La", "Np", "Np", "N", "N", "N", "N", "N", "N", "N", "N"], "fractional_positions": [[0.500, 0.936, 0.823], [0.500, 0.064, 0.177], [0.500, 0.436, 0.677], [0.500, 0.564, 0.323], [0.000, 0.000, 0.500], [0.000, 0.500, 0.000], [0.000, 0.636, 0.817], [0.000, 0.364, 0.183], [0.000, 0.136, 0.683], [0.000, 0.864, 0.317], [0.500, 0.782, 0.545], [0.500, 0.218, 0.455], [0.500, 0.718, 0.045], [0.500, 0.282, 0.955]], "raw_formation_energy_ev_per_atom": -1.34, "crystal_system": "orthorhombic", "de_polymorph_mev_per_atom": 0}

---

No. 2
{"formula": "CaLa2Tc", "functional": "GGA-PBE", "state": "relaxed", "lattice": [[-2.538, -0.792, -2.427], [-0.814, -2.992, 1.828], [-5.976, 4.539, 4.769]], "species": ["Ca", "Tc", "La", "La"], "fractional_positions": [[0.500, 0.500, 0.684], [0.000, 0.000, 0.467], [0.000, 0.000, 0.043], [0.500, 0.500, 0.306]], "e_form_ev_per_atom": 0.262, "crystal_system": "tetragonal", "de_polymorph_mev_per_atom": 192}

---

No. 3
{"formula": "K2Zn6As3", "functional": "GGA-PBE", "state": "relaxed", "lattice": [[-1.702, -2.053, 3.329], [-6.786, -0.912, -4.031], [5.690, -5.523, -0.499]], "species": ["K", "K", "Zn", "Zn", "Zn", "Zn", "Zn", "Zn", "As", "As", "As"], "fractional_positions": [[0.000, 0.667, 0.333], [0.000, 0.333, 0.667], [0.500, 0.292, 0.000], [0.500, 0.708, 0.708], [0.000, 0.816, 0.000], [0.000, 0.000, 0.816], [0.500, 0.000, 0.292], [0.000, 0.184, 0.184], [0.500, 0.638, 0.000], [0.500, 0.000, 0.638], [0.500, 0.362, 0.362]], "e_form_ev_per_atom": -0.191, "crystal_system": "hexagonal"}

---

Table of size of the total moment (μB/f.u.), in record order: 1.0 0.0 0.0